Entry 1:
The following is a PBE with a Hubbard U calculation of crystalline RbVO2 at its relaxed geometry, from the Alexandria database. Values from VASP.

Geometry as Quantum ESPRESSO input:
```
&SYSTEM
  ibrav = 0, nat = 8, ntyp = 3
/
ATOMIC_SPECIES
Rb 85.47 Rb.upf
V 50.94 V.upf
O 16.00 O.upf
ATOMIC_POSITIONS crystal
Rb 0.000 0.000 0.000
Rb 0.411 0.402 0.217
V 0.213 0.709 0.609
V 0.713 0.714 0.609
O 0.068 0.925 0.407
O 0.385 0.755 0.795
O 0.562 0.670 0.422
O 0.879 0.500 0.814
CELL_PARAMETERS angstrom
5.546 0.000 0.000
0.017 5.897 0.000
2.570 2.935 5.831
```

Computed properties:
As for the space group: P1, No. 1. The crystal system is triclinic. The value obtained for the uncorrected energy is -6.284 eV per atom. The magnetization is 2.0 μB/f.u.

Entry 2:
The following is a PBE with a Hubbard U calculation of crystalline RbVO2 at its relaxed geometry, from the Alexandria database. Values from VASP.

Geometry as Quantum ESPRESSO input:
```
&SYSTEM
  ibrav = 0, nat = 8, ntyp = 3
/
ATOMIC_SPECIES
Rb 85.47 Rb.upf
V 50.94 V.upf
O 16.00 O.upf
ATOMIC_POSITIONS crystal
Rb 0.000 0.000 0.000
Rb 0.184 0.591 0.706
V 0.451 0.095 0.451
V 0.708 0.512 0.258
O 0.242 0.438 0.339
O 0.485 0.056 0.693
O 0.560 0.835 0.329
O 0.714 0.518 0.023
CELL_PARAMETERS angstrom
3.769 0.000 0.000
1.704 5.548 0.000
0.041 1.396 7.194
```

Computed properties:
As for the space group: P1, No. 1. The crystal system is triclinic. The value obtained for the uncorrected energy is -6.212 eV per atom. The magnetization is 1.0 μB/f.u.

Entry 3:
The following is a PBE with a Hubbard U calculation of crystalline Rb2VO4 at its relaxed geometry, from the Alexandria database. Values from VASP.

Geometry as Quantum ESPRESSO input:
```
&SYSTEM
  ibrav = 0, nat = 14, ntyp = 3
/
ATOMIC_SPECIES
Rb 85.47 Rb.upf
V 50.94 V.upf
O 16.00 O.upf
ATOMIC_POSITIONS crystal
Rb 0.229 0.771 0.229
Rb 0.236 0.236 0.764
Rb 0.764 0.764 0.236
Rb 0.771 0.229 0.771
V 0.250 0.250 0.250
V 0.750 0.750 0.750
O 0.151 0.505 0.191
O 0.153 0.191 0.505
O 0.191 0.153 0.151
O 0.495 0.849 0.847
O 0.505 0.151 0.153
O 0.809 0.847 0.849
O 0.847 0.809 0.495
O 0.849 0.495 0.809
CELL_PARAMETERS angstrom
0.000 6.422 6.477
5.068 0.000 6.477
5.068 6.422 0.000
```

Computed properties:
The value obtained for the energy relative to the lowest polymorph listed for this composition is 0.063 eV per atom. As for the space group: Fmmm, No. 69. The crystal system is orthorhombic. The value obtained for the uncorrected energy is -5.793 eV per atom. The magnetization is 1.0 μB/f.u.

Entry 4:
The following is a PBE with a Hubbard U calculation of crystalline RbVO2 at its relaxed geometry, from the Alexandria database. Values from VASP.

Geometry as Quantum ESPRESSO input:
```
&SYSTEM
  ibrav = 0, nat = 16, ntyp = 3
/
ATOMIC_SPECIES
Rb 85.47 Rb.upf
V 50.94 V.upf
O 16.00 O.upf
ATOMIC_POSITIONS crystal
Rb 0.000 0.250 0.118
Rb 0.000 0.750 0.882
Rb 0.500 0.250 0.382
Rb 0.500 0.750 0.618
V 0.000 0.250 0.629
V 0.000 0.750 0.371
V 0.500 0.250 0.871
V 0.500 0.750 0.129
O 0.000 0.000 0.500
O 0.000 0.250 0.831
O 0.000 0.500 0.500
O 0.000 0.750 0.169
O 0.500 0.000 0.000
O 0.500 0.250 0.669
O 0.500 0.500 0.000
O 0.500 0.750 0.331
CELL_PARAMETERS angstrom
4.362 0.000 0.000
0.000 6.118 0.000
0.000 0.000 9.555
```

Computed properties:
As for the space group: Imma, No. 74. The crystal system is orthorhombic. The value obtained for the uncorrected energy is -6.302 eV per atom. The magnetization is 2.0 μB/f.u.